Computed, not measured: an optimized crystal structure of Tl2Bi2Pb at the PBE-GGA level of DFT.

Values from the calculation:
Mass density ... 8.0 g/cm³
Electronic total energy ... -2.702 eV per atom
Energy relative to the lowest polymorph listed for this composition ... 538 meV per atom
Formation energy ... 539 meV per atom

a b c (Å): 5.942 5.942 6.093
angles (deg): 90.00 90.00 90.00
Space group P4/mmm (No. 123)
Asymmetric unit:
Tl 0.000 0.500 0.000 [2 per cell]
Bi 0.000 0.000 0.000 [1 per cell]
Bi 0.000 0.000 0.500 [1 per cell]
Pb 0.500 0.500 0.500 [1 per cell]


Computed, not measured: an optimized crystal structure of TlBi2Pb5 at the PBE-GGA level of DFT.

Values from the calculation:
Mass density ... 9.8 g/cm³
Electronic total energy ... -3.525 eV per atom
Energy relative to the lowest polymorph listed for this composition ... 61 meV per atom
Formation energy ... 59 meV per atom

a b c (Å): 4.443 10.314 12.285
angles (deg): 90.00 90.00 90.00
Space group Immm (No. 71)
Asymmetric unit:
Tl 0.000 0.000 0.000 [2 per cell]
Bi 0.000 0.500 0.277 [4 per cell]
Pb 0.000 0.187 0.354 [8 per cell]
Pb 0.000 0.500 0.000 [2 per cell]


Question: Which value of mass density does entry 1 give?
Answer: 8.0 g/cm³


Question: Among the records above, which one has the lowest formation energy?
Answer: TlBi2Pb5


Question: Among the records above, which one has the highest formation energy?
Answer: Tl2Bi2Pb